# 1
Density functional theory data (GGA-PBE) for a relaxed Re2PtRh crystal.

Structure (POSCAR):
```
Re2PtRh
1.0
6.070 0.000 0.000
0.000 6.070 0.000
3.035 3.035 4.573
Rh Re Pt
2 4 2
Direct
0.500 0.500 0.000
0.250 0.750 0.500
0.375 0.381 0.750
0.619 0.125 0.250
0.131 0.625 0.250
0.875 0.869 0.750
0.750 0.250 0.500
0.000 0.000 0.000
```

Properties
The space group is No. 122. For the energy relative to the elements, the calculation gives 1.255 eV/atom.

# 2
Density functional theory data (GGA-PBE) for a relaxed BaNaLa2Tl4 crystal.

Structure (POSCAR):
```
BaNaLa2Tl4
1.0
5.571 0.000 0.000
2.785 4.825 0.000
2.785 1.608 9.913
Tl La Na Ba
4 2 1 1
Direct
0.875 0.875 0.374
0.611 0.611 0.167
0.389 0.389 0.833
0.125 0.125 0.626
0.763 0.763 0.712
0.237 0.237 0.288
0.500 0.500 0.500
0.000 0.000 0.000
```

Properties
The space group is No. 166. For the energy relative to the elements, the calculation gives -0.313 eV/atom.

# 3
Density functional theory data (GGA-PBE) for a relaxed Nd6Sm8Tl crystal.

Structure (POSCAR):
```
Nd6Sm8Tl
1.0
-0.429 -1.402 6.411
-9.477 0.698 -0.481
4.238 -8.377 -1.549
Nd Tl Sm
6 1 8
Direct
0.325 0.092 0.449
0.675 0.449 0.357
0.675 0.908 0.551
0.325 0.357 0.908
0.675 0.643 0.092
0.325 0.551 0.643
0.500 0.000 0.000
0.853 0.333 0.667
0.817 0.040 0.266
0.183 0.774 0.040
0.183 0.960 0.734
0.817 0.226 0.960
0.817 0.734 0.774
0.147 0.667 0.333
0.183 0.266 0.226
```

Properties
The space group is No. 147. For the energy relative to the elements, the calculation gives 0.069 eV/atom.

# 4
Density functional theory data (GGA-PBE) for a relaxed LaMg2Si crystal.

Structure (POSCAR):
```
LaMg2Si
1.0
3.438 0.019 0.000
-0.023 3.438 0.000
0.000 0.000 8.128
Mg Si La
2 1 1
Direct
0.000 0.000 0.058
0.000 0.000 0.442
0.500 0.500 0.250
0.500 0.500 0.750
```

Properties
The space group is No. 123. Its uncorrected formation energy is -0.013 eV/atom.

# 5
Density functional theory data (GGA-PBE) for a relaxed ScCdSn crystal.

Structure (POSCAR):
```
ScCdSn
1.0
4.341 0.000 0.000
0.000 4.300 0.000
2.157 0.000 7.231
Sn Sc Cd
2 2 2
Direct
0.888 0.034 0.200
0.551 0.034 0.873
0.059 0.534 0.857
0.380 0.534 0.216
0.720 0.534 0.536
0.220 0.034 0.536
```

Properties
The space group is No. 10. For the energy relative to the elements, the calculation gives -0.422 eV/atom.

# 6
Density functional theory data (GGA-PBE) for a relaxed LiErTh2 crystal.

Structure (POSCAR):
```
LiErTh2
1.0
3.428 0.000 0.000
1.714 2.969 0.000
1.714 0.990 12.480
Th Li Er
2 1 1
Direct
0.912 0.912 0.265
0.088 0.088 0.735
0.000 0.000 0.000
0.500 0.500 0.500
```

Properties
The space group is No. 166. For the energy relative to the elements, the calculation gives 0.241 eV/atom.

# 7
Density functional theory data (GGA-PBE) for a relaxed Ba2ZrSb crystal.

Structure (POSCAR):
```
Ba2ZrSb
1.0
-0.262 3.657 -0.555
-0.014 -0.557 -3.667
-10.737 -0.746 0.155
Sb Zr Ba
1 1 2
Direct
0.500 0.500 0.250
0.500 0.500 0.750
0.000 0.000 0.021
0.000 0.000 0.479
```

Properties
The space group is No. 123. Its uncorrected formation energy is 0.109 eV/atom.

# 8
Density functional theory data (GGA-PBE) for a relaxed LaNd2Bi crystal.

Structure (POSCAR):
```
LaNd2Bi
1.0
4.193 -0.001 -0.001
2.096 3.631 -0.001
2.095 1.209 9.880
La Nd Bi
1 2 1
Direct
0.500 0.500 0.500
0.264 0.264 0.208
0.069 0.069 0.793
0.667 0.667 0.000
```

Properties
The space group is No. 160. For the energy relative to the elements, the calculation gives -0.239 eV/atom.

# 9
Density functional theory data (GGA-PBE) for a relaxed Cs2Nd4S3O2 crystal.

Structure (POSCAR):
```
Cs2Nd4S3O2
1.0
-3.654 -1.113 -2.816
0.531 -4.580 1.122
-6.702 4.368 10.970
Cs S Nd O
2 3 4 2
Direct
0.696 0.696 0.393
0.304 0.304 0.607
0.142 0.142 0.283
0.000 0.000 0.000
0.858 0.858 0.717
0.431 0.931 0.862
0.931 0.431 0.862
0.069 0.569 0.138
0.569 0.069 0.138
0.588 0.588 0.176
0.412 0.412 0.824
```

Properties
The space group is No. 139. Its uncorrected formation energy is -1.838 eV/atom.

# 10
Density functional theory data (GGA-PBE) for a relaxed Cd3Ru crystal.

Structure (POSCAR):
```
Cd3Ru
1.0
2.985 -5.170 0.000
2.985 5.170 0.000
0.000 0.000 4.816
Cd Ru
6 2
Direct
0.828 0.656 0.250
0.172 0.344 0.750
0.172 0.828 0.750
0.344 0.172 0.250
0.656 0.828 0.750
0.828 0.172 0.250
0.333 0.667 0.250
0.667 0.333 0.750
```

Properties
The space group is No. 194. For the energy relative to the elements, the calculation gives 0.187 eV/atom.

# 11
Density functional theory data (GGA-PBE) for a relaxed AcSiAg3 crystal.

Structure (POSCAR):
```
AcSiAg3
1.0
4.323 0.003 1.489
-0.512 4.292 1.493
0.244 0.270 6.280
Ag Si Ac
3 1 1
Direct
0.796 0.599 0.113
0.639 0.944 0.426
0.140 0.443 0.426
0.029 0.832 0.649
0.404 0.207 0.898
```

Properties
The space group is No. 8. Its uncorrected formation energy is -0.266 eV/atom.

# 12
Density functional theory data (GGA-PBE) for a relaxed Tb2EuS4 crystal.

Structure (POSCAR):
```
Tb2EuS4
1.0
-4.237 4.237 4.217
4.237 -4.237 4.217
4.237 4.237 -4.217
S Eu Tb
8 2 4
Direct
0.866 0.266 0.252
0.236 0.484 0.100
0.864 0.764 0.248
0.014 0.614 0.748
0.384 0.136 0.900
0.516 0.616 0.752
0.734 0.986 0.600
0.386 0.134 0.400
0.000 0.000 0.000
0.250 0.750 0.500
0.750 0.375 0.875
0.125 0.250 0.625
0.625 0.500 0.375
0.500 0.875 0.125
```

Properties
The space group is No. 122. Its uncorrected formation energy is -2.086 eV/atom.

no.,size of the total moment (μB per cell)
1,0.00
2,0.00
3,0.00
4,0.00
5,0.00
6,0.00
7,1.99
8,0.16
9,0.00
10,0.00
11,0.00
12,14.00